An optimized crystal structure of BaSbPbI2. Source: the Alexandria database, functional PBE.

Cell: 6.148 6.148 6.114 Å, 90.00 90.00 90.00°
Atoms (fractional coordinates):
Ba 0.000 0.000 0.000
Sb 0.500 0.500 0.000
Pb 0.500 0.500 0.500
I 0.000 0.500 0.500
I 0.500 0.000 0.500

Results
The total DFT energy (no corrections) is -15.3 eV per formula unit. The calculation puts the uncorrected formation energy at -0.498 eV/atom. As for the magnetization: 0.5 μB per cell. The value obtained for the relative energy among the computed polymorphs is 0.000 eV per atom.

***

An optimized crystal structure of Ba4SbPbI2. Source: the Alexandria database, functional PBE.

Cell: 8.972 4.913 9.079 Å, 90.00 107.94 90.00°
Atoms (fractional coordinates):
Ba 0.237 0.000 0.218
Ba 0.249 0.500 0.773
Ba 0.751 0.500 0.227
Ba 0.763 0.000 0.782
Sb 0.000 0.500 0.000
Pb 0.500 0.000 0.000
I 0.000 0.000 0.500
I 0.500 0.500 0.500

Results
The total DFT energy (no corrections) is -27.9 eV per formula unit. The calculation puts the uncorrected formation energy at -1.155 eV/atom. As for the magnetization: 0.4 μB per cell.

***

An optimized crystal structure of Ba6SbPb2I3. Source: the Alexandria database, functional PBE.

Cell: 11.632 11.632 10.605 Å, 106.10 106.10 24.51°
Atoms (fractional coordinates):
Ba 0.009 0.009 0.231
Ba 0.331 0.331 0.416
Ba 0.341 0.341 0.898
Ba 0.659 0.659 0.102
Ba 0.669 0.669 0.584
Ba 0.991 0.991 0.769
Sb 0.500 0.500 0.000
Pb 0.172 0.172 0.350
Pb 0.828 0.828 0.650
I 0.165 0.165 0.843
I 0.500 0.500 0.500
I 0.835 0.835 0.157

Results
The total DFT energy (no corrections) is -40.8 eV per formula unit. The calculation puts the uncorrected formation energy at -1.088 eV/atom. As for the magnetization: 0.7 μB per cell.